Entry 1:
Computed, not measured: crystalline YTaOs at its relaxed geometry at the PBE level of DFT.

The energy relative to the lowest polymorph listed for this composition is 0.406 eV per atom. Its formation energy is 0.167 eV/atom. The calculation puts the calculated volume at 22.45 A^3/atom.

The space group is F-43m (No. 216) and the conventional cell measures 6.459, 6.459 and 6.459 Å, with angles of 90.00, 90.00 and 90.00 degrees. The distinct sites, in fractional coordinates, are Y at (0.000, 0.000, 0.000), Ta at (0.000, 0.000, 0.500) and Os at (0.250, 0.250, 0.750).

Entry 2:
Computed, not measured: crystalline ScSiTeI2 at its relaxed geometry at the PBE level of DFT.

The energy relative to the lowest polymorph listed for this composition is 0.177 eV per atom. The formation energy from raw total energies is 0.19 eV per atom. The calculation puts the calculated volume at 32.64 A^3/atom.

The space group is P4/mmm (No. 123) and the conventional cell measures 5.410, 5.410 and 5.576 Å, with angles of 90.00, 90.00 and 90.00 degrees. The distinct sites, in fractional coordinates, are Sc at (0.000, 0.000, 0.000), Si at (0.500, 0.500, 0.500), Te at (0.500, 0.500, 0.000) and I at (0.000, 0.500, 0.500).

Entry 3:
Computed, not measured: crystalline SmTm3 at its relaxed geometry at the PBE level of DFT.

The energy relative to the lowest polymorph listed for this composition is 0.021 eV per atom. Its formation energy is 0.027 eV/atom. The calculation puts the calculated volume at 30.88 A^3/atom.

The space group is Pm-3m (No. 221) and the conventional cell measures 4.980, 4.980 and 4.980 Å, with angles of 90.00, 90.00 and 90.00 degrees. The distinct sites, in fractional coordinates, are Sm at (0.000, 0.000, 0.000) and Tm at (0.000, 0.500, 0.500).